(1)
First-principles (PBE) data for a geometry-optimized YTm5Cd6 structure, as listed in Alexandria via LeMat-Bulk.

abc: 5.229 15.736 7.417
angles: 90.00 90.00 90.00
Space group Cmmm (No. 65)
Inequivalent atoms, fractional coordinates:
Y 0.000 0.000 0.000 x2
Tm 0.000 0.000 0.500 x2
Tm 0.000 0.332 0.000 x4
Tm 0.000 0.334 0.500 x4
Cd 0.000 0.168 0.253 x8
Cd 0.000 0.500 0.252 x4

Output
Density   8.75 Mg/m³
Formation enthalpy at 0 K   -320 meV per atom

(2)
First-principles (PBE) data for a geometry-optimized LaPr2Ga3 structure, as listed in Alexandria via LeMat-Bulk.

abc: 5.289 15.895 7.486
angles: 90.00 90.00 90.00
Space group Cmmm (No. 65)
Inequivalent atoms, fractional coordinates:
La 0.000 0.167 0.000 x4
Pr 0.000 0.168 0.500 x4
Pr 0.000 0.500 0.000 x2
Pr 0.000 0.500 0.500 x2
Ga 0.000 0.000 0.255 x4
Ga 0.000 0.335 0.254 x8

Output
Density   6.65 Mg/m³
Formation enthalpy at 0 K   -551 meV per atom

(3)
First-principles (PBE) data for a geometry-optimized LiHoNi5 structure, as listed in Alexandria via LeMat-Bulk.

abc: 7.878 4.816 9.964
angles: 90.00 90.00 90.00
Space group Pnma (No. 62)
Inequivalent atoms, fractional coordinates:
Li 0.134 0.250 0.145 x4
Ho 0.244 0.750 0.941 x4
Ni 0.060 0.250 0.899 x4
Ni 0.072 0.503 0.688 x8
Ni 0.095 0.750 0.482 x4
Ni 0.182 0.750 0.251 x4

Output
Density   8.18 Mg/m³
Formation enthalpy at 0 K   -222 meV per atom